No. 1
Compound: Tb2NdDyP4
Source: Alexandria via LeMat-Bulk
Functional: PBE
Structure: relaxed

Density of states at the Fermi level ... 1.75 states/eV/cell
ΔH_f (0 K) ... -1586 meV/atom

a = 5.740 Å, b = 5.740 Å, c = 11.482 Å
α = 90.00°, β = 90.00°, γ = 90.00°
Space group I4/mmm (No. 139)
Inequivalent atoms, fractional coordinates:
Tb: 0.000 0.500 0.250
Nd: 0.000 0.000 0.000
Dy: 0.000 0.000 0.500
P: 0.000 0.000 0.254
P: 0.000 0.500 0.000

=====

No. 2
Compound: TbNd2DyP4
Source: Alexandria via LeMat-Bulk
Functional: PBE
Structure: relaxed

Density of states at the Fermi level ... 0.73 states/eV/cell
ΔH_f (0 K) ... -1570 meV/atom

a = 7.086 Å, b = 4.095 Å, c = 7.089 Å
α = 90.00°, β = 109.46°, γ = 90.00°
Space group P2/m (No. 10)
Inequivalent atoms, fractional coordinates:
Tb: 0.000 0.000 0.000
Nd: 0.500 0.000 0.500
Nd: 0.500 0.500 0.000
Dy: 0.000 0.500 0.500
P: 0.241 0.000 0.746
P: 0.241 0.500 0.248

=====

No. 3
Compound: Tb2NdDy3P6
Source: Alexandria via LeMat-Bulk
Functional: PBE
Structure: relaxed

Density of states at the Fermi level ... 3.26 states/eV/cell
ΔH_f (0 K) ... -1596 meV/atom

a = 7.000 Å, b = 12.123 Å, c = 7.001 Å
α = 90.00°, β = 109.46°, γ = 90.00°
Space group C2/m (No. 12)
Inequivalent atoms, fractional coordinates:
Tb: 0.000 0.167 0.000
Nd: 0.000 0.500 0.000
Dy: 0.000 0.000 0.500
Dy: 0.000 0.334 0.500
P: 0.246 0.169 0.746
P: 0.247 0.000 0.254

=====

No. 4
Compound: NdDyTeP
Source: Alexandria via LeMat-Bulk
Functional: PBE
Structure: relaxed

Density of states at the Fermi level ... 8.49 states/eV/cell
Formation energy from raw total energies ... -6.166 eV/f.u.

a = 4.1458 Å, b = 4.1458 Å, c = 22.0704 Å
α = 90.00°, β = 90.00°, γ = 120.00°
Space group R3m (No. 160, hexagonal axes)
Inequivalent atoms, fractional coordinates:
Nd: 0.0000 0.0000 0.0000
Dy: 0.0000 0.0000 0.8071
Te: 0.0000 0.0000 0.2333
P: 0.0000 0.0000 0.4086

=====

no.,total magnetic moment (μB/f.u.)
1,0.0
2,0.0
3,0.0
4,0.0